No. 1
Compound: TlSi2Te
Source: Alexandria via LeMat-Bulk
Functional: SCAN
Structure: single point on PBEsol structure

CIF file:
```
data_TlSi2Te
_chemical_formula_sum 'Tl4 Si8 Te4'
_space_group_name_H-M_alt 'P 1'
_space_group_IT_number 1
_space_group_name_Hall 'P 1'
_cell_length_a 5.999
_cell_length_b 5.999
_cell_length_c 12.989
_cell_angle_alpha 90.00
_cell_angle_beta 90.00
_cell_angle_gamma 90.00
loop_
_atom_site_label
_atom_site_fract_x
_atom_site_fract_y
_atom_site_fract_z
Tl1 0.000 0.000 0.000
Tl2 0.000 0.500 0.250
Tl3 0.500 0.000 0.750
Tl4 0.500 0.500 0.500
Si1 0.240 0.250 0.125
Si2 0.250 0.740 0.375
Si3 0.250 0.760 0.875
Si4 0.260 0.250 0.625
Si5 0.740 0.750 0.625
Si6 0.750 0.240 0.875
Si7 0.750 0.260 0.375
Si8 0.760 0.750 0.125
Te1 0.000 0.000 0.500
Te2 0.000 0.500 0.750
Te3 0.500 0.000 0.250
Te4 0.500 0.500 0.000
```

## Properties
space group	No. 122
relative energy among the computed polymorphs	0.2882	eV/atom
formation energy (no corrections)	0.63	eV/atom



No. 2
Compound: Tl2SiTe
Source: Alexandria via LeMat-Bulk
Functional: SCAN
Structure: single point on PBEsol structure

CIF file:
```
data_Tl2SiTe
_chemical_formula_sum 'Tl6 Si3 Te3'
_space_group_name_H-M_alt 'P 1'
_space_group_IT_number 1
_space_group_name_Hall 'P 1'
_cell_length_a 3.225
_cell_length_b 3.225
_cell_length_c 34.294
_cell_angle_alpha 90.00
_cell_angle_beta 90.00
_cell_angle_gamma 120.00
loop_
_atom_site_label
_atom_site_fract_x
_atom_site_fract_y
_atom_site_fract_z
Tl1 0.000 0.000 0.241
Tl2 0.000 0.000 0.759
Tl3 0.333 0.667 0.426
Tl4 0.333 0.667 0.908
Tl5 0.667 0.333 0.092
Tl6 0.667 0.333 0.574
Si1 0.000 0.000 0.500
Si2 0.333 0.667 0.167
Si3 0.667 0.333 0.833
Te1 0.000 0.000 0.000
Te2 0.333 0.667 0.667
Te3 0.667 0.333 0.333
```

## Properties
space group	No. 166
relative energy among the computed polymorphs	0.0246	eV/atom
formation energy (no corrections)	0.46	eV/atom



No. 3
Compound: TlSi2Te
Source: Alexandria via LeMat-Bulk
Functional: SCAN
Structure: single point on PBEsol structure

CIF file:
```
data_TlSi2Te
_chemical_formula_sum 'Tl2 Si4 Te2'
_space_group_name_H-M_alt 'P 1'
_space_group_IT_number 1
_space_group_name_Hall 'P 1'
_cell_length_a 6.618
_cell_length_b 9.404
_cell_length_c 3.063
_cell_angle_alpha 90.00
_cell_angle_beta 112.17
_cell_angle_gamma 90.00
loop_
_atom_site_label
_atom_site_fract_x
_atom_site_fract_y
_atom_site_fract_z
Tl1 0.000 0.000 0.000
Tl2 0.500 0.500 0.000
Si1 0.250 0.250 0.500
Si2 0.250 0.750 0.500
Si3 0.750 0.250 0.500
Si4 0.750 0.750 0.500
Te1 0.000 0.500 0.000
Te2 0.500 0.000 0.000
```

## Properties
space group	No. 12
relative energy among the computed polymorphs	0.4341	eV/atom
formation energy (no corrections)	0.77	eV/atom



No. 4
Compound: Si2TeW
Source: Alexandria via LeMat-Bulk
Functional: SCAN
Structure: single point on PBEsol structure

CIF file:
```
data_Si2TeW
_chemical_formula_sum 'Si6 Te3 W3'
_space_group_name_H-M_alt 'P 1'
_space_group_IT_number 1
_space_group_name_Hall 'P 1'
_cell_length_a 3.068
_cell_length_b 3.068
_cell_length_c 26.819
_cell_angle_alpha 90.00
_cell_angle_beta 90.00
_cell_angle_gamma 120.00
loop_
_atom_site_label
_atom_site_fract_x
_atom_site_fract_y
_atom_site_fract_z
Si1 0.000 0.000 0.000
Si2 0.000 0.000 0.261
Si3 0.333 0.667 0.667
Si4 0.333 0.667 0.927
Si5 0.667 0.333 0.333
Si6 0.667 0.333 0.594
Te1 0.000 0.000 0.778
Te2 0.333 0.667 0.444
Te3 0.667 0.333 0.111
W1 0.000 0.000 0.522
W2 0.333 0.667 0.189
W3 0.667 0.333 0.856
```

## Properties
space group	No. 160
formation energy (no corrections)	0.62	eV/atom



No. 5
Compound: Si2TeW
Source: Alexandria via LeMat-Bulk
Functional: SCAN
Structure: single point on PBEsol structure

CIF file:
```
data_Si2TeW
_chemical_formula_sum 'Si4 Te2 W2'
_space_group_name_H-M_alt 'P 1'
_space_group_IT_number 1
_space_group_name_Hall 'P 1'
_cell_length_a 8.319
_cell_length_b 3.317
_cell_length_c 5.462
_cell_angle_alpha 90.00
_cell_angle_beta 96.03
_cell_angle_gamma 90.00
loop_
_atom_site_label
_atom_site_fract_x
_atom_site_fract_y
_atom_site_fract_z
Si1 0.000 0.000 0.000
Si2 0.235 0.000 0.789
Si3 0.500 0.500 0.000
Si4 0.735 0.500 0.789
Te1 0.431 0.000 0.432
Te2 0.931 0.500 0.432
W1 0.226 0.500 0.128
W2 0.726 0.000 0.128
```

## Properties
space group	No. 8
formation energy (no corrections)	0.44	eV/atom



No. 6
Compound: Si2TeW
Source: Alexandria via LeMat-Bulk
Functional: SCAN
Structure: single point on PBEsol structure

CIF file:
```
data_Si2TeW
_chemical_formula_sum 'Si2 Te1 W1'
_space_group_name_H-M_alt 'P 1'
_space_group_IT_number 1
_space_group_name_Hall 'P 1'
_cell_length_a 3.159
_cell_length_b 4.422
_cell_length_c 4.865
_cell_angle_alpha 90.00
_cell_angle_beta 90.00
_cell_angle_gamma 90.00
loop_
_atom_site_label
_atom_site_fract_x
_atom_site_fract_y
_atom_site_fract_z
Si1 0.000 0.000 0.000
Si2 0.500 0.000 0.500
Te1 0.000 0.500 0.500
W1 0.500 0.500 0.000
```

## Properties
space group	No. 47
formation energy (no corrections)	1.01	eV/atom



No. 7
Compound: YSi2Te
Source: Alexandria via LeMat-Bulk
Functional: SCAN
Structure: single point on PBEsol structure

CIF file:
```
data_YSi2Te
_chemical_formula_sum 'Y1 Si2 Te1'
_space_group_name_H-M_alt 'P 1'
_space_group_IT_number 1
_space_group_name_Hall 'P 1'
_cell_length_a 4.093
_cell_length_b 3.941
_cell_length_c 5.838
_cell_angle_alpha 90.00
_cell_angle_beta 108.06
_cell_angle_gamma 90.00
loop_
_atom_site_label
_atom_site_fract_x
_atom_site_fract_y
_atom_site_fract_z
Y1 0.000 0.000 0.000
Si1 0.543 0.500 0.244
Si2 0.777 0.000 0.448
Te1 0.414 0.500 0.775
```

## Properties
space group	No. 6
formation energy (no corrections)	-0.37	eV/atom



No. 8
Compound: YSi2Te
Source: Alexandria via LeMat-Bulk
Functional: SCAN
Structure: single point on PBEsol structure

CIF file:
```
data_YSi2Te
_chemical_formula_sum 'Y1 Si2 Te1'
_space_group_name_H-M_alt 'P 1'
_space_group_IT_number 1
_space_group_name_Hall 'P 1'
_cell_length_a 4.124
_cell_length_b 3.848
_cell_length_c 6.014
_cell_angle_alpha 90.00
_cell_angle_beta 108.75
_cell_angle_gamma 90.00
loop_
_atom_site_label
_atom_site_fract_x
_atom_site_fract_y
_atom_site_fract_z
Y1 0.000 0.000 0.000
Si1 0.356 0.500 0.798
Si2 0.644 0.500 0.202
Te1 0.500 0.000 0.500
```

## Properties
space group	No. 10
formation energy (no corrections)	-0.20	eV/atom



No. 9
Compound: ZnSiTe
Source: Alexandria via LeMat-Bulk
Functional: SCAN
Structure: single point on PBEsol structure

CIF file:
```
data_ZnSiTe
_chemical_formula_sum 'Zn1 Si1 Te1'
_space_group_name_H-M_alt 'P 1'
_space_group_IT_number 1
_space_group_name_Hall 'P 1'
_cell_length_a 3.117
_cell_length_b 3.117
_cell_length_c 7.283
_cell_angle_alpha 90.00
_cell_angle_beta 90.00
_cell_angle_gamma 120.00
loop_
_atom_site_label
_atom_site_fract_x
_atom_site_fract_y
_atom_site_fract_z
Zn1 0.000 0.000 0.000
Si1 0.333 0.667 0.739
Te1 0.667 0.333 0.332
```

## Properties
space group	No. 156
formation energy (no corrections)	0.59	eV/atom



No. 10
Compound: Zn3SiTe
Source: Alexandria via LeMat-Bulk
Functional: SCAN
Structure: single point on PBEsol structure

CIF file:
```
data_Zn3SiTe
_chemical_formula_sum 'Zn3 Si1 Te1'
_space_group_name_H-M_alt 'P 1'
_space_group_IT_number 1
_space_group_name_Hall 'P 1'
_cell_length_a 5.078
_cell_length_b 5.078
_cell_length_c 5.078
_cell_angle_alpha 90.00
_cell_angle_beta 90.00
_cell_angle_gamma 90.00
loop_
_atom_site_label
_atom_site_fract_x
_atom_site_fract_y
_atom_site_fract_z
Zn1 0.000 0.000 0.500
Zn2 0.000 0.500 0.000
Zn3 0.500 0.000 0.000
Si1 0.500 0.500 0.500
Te1 0.000 0.000 0.000
```

## Properties
space group	No. 221
formation energy (no corrections)	1.10	eV/atom



No. 11
Compound: ZnSi2Te
Source: Alexandria via LeMat-Bulk
Functional: SCAN
Structure: single point on PBEsol structure

CIF file:
```
data_ZnSi2Te
_chemical_formula_sum 'Zn2 Si4 Te2'
_space_group_name_H-M_alt 'P 1'
_space_group_IT_number 1
_space_group_name_Hall 'P 1'
_cell_length_a 3.763
_cell_length_b 3.763
_cell_length_c 10.821
_cell_angle_alpha 90.00
_cell_angle_beta 90.00
_cell_angle_gamma 90.00
loop_
_atom_site_label
_atom_site_fract_x
_atom_site_fract_y
_atom_site_fract_z
Zn1 0.000 0.000 0.000
Zn2 0.500 0.500 0.500
Si1 0.000 0.500 0.250
Si2 0.000 0.500 0.750
Si3 0.500 0.000 0.250
Si4 0.500 0.000 0.750
Te1 0.000 0.000 0.500
Te2 0.500 0.500 0.000
```

## Properties
space group	No. 139
formation energy (no corrections)	0.63	eV/atom



No. 12
Compound: ZrSi2Te
Source: Alexandria via LeMat-Bulk
Functional: SCAN
Structure: single point on PBEsol structure

CIF file:
```
data_ZrSi2Te
_chemical_formula_sum 'Zr1 Si2 Te1'
_space_group_name_H-M_alt 'P 1'
_space_group_IT_number 1
_space_group_name_Hall 'P 1'
_cell_length_a 3.425
_cell_length_b 4.709
_cell_length_c 4.723
_cell_angle_alpha 90.00
_cell_angle_beta 90.00
_cell_angle_gamma 90.00
loop_
_atom_site_label
_atom_site_fract_x
_atom_site_fract_y
_atom_site_fract_z
Zr1 0.000 0.000 0.000
Si1 0.500 0.000 0.500
Si2 0.500 0.500 0.000
Te1 0.000 0.500 0.500
```

## Properties
space group	No. 47
relative energy among the computed polymorphs	0.2106	eV/atom
formation energy (no corrections)	0.12	eV/atom



| no. | raw total energy (eV/atom) |
| --- | --- |
| 1 | -31.785 |
| 2 | -47.538 |
| 3 | -31.639 |
| 4 | -31.124 |
| 5 | -31.300 |
| 6 | -30.728 |
| 7 | -21.652 |
| 8 | -21.480 |
| 9 | -19.669 |
| 10 | -16.465 |
| 11 | -17.070 |
| 12 | -21.879 |